[1]
# YHoTh2Se4

A relaxed structure of YHoTh2Se4 (PBE-GGA, Alexandria via LeMat-Bulk).

a = 6.9505 Å, b = 4.0505 Å, c = 7.4993 Å
α = 90.00°, β = 108.34°, γ = 90.00°
Closest atoms and distances in Å follow each position.
Positions (direct):
Y  0.0000  0.0000  0.0000  6 Se 2.86-2.87
Ho  0.5000  0.5000  0.0000  6 Se 2.85
Th  0.0000  0.5000  0.5000  6 Se 3.01
Th  0.5000  0.0000  0.5000  6 Se 3.00
Se  0.2461  0.5000  0.2336  1 Ho 2.85, 2 Y 2.87, 3 Th 3.00-3.01
Se  0.2569  0.0000  0.7672  2 Ho 2.85, 1 Y 2.86, 3 Th 3.00-3.01
Se  0.7431  0.0000  0.2328  2 Ho 2.85, 1 Y 2.86, 3 Th 3.00-3.01
Se  0.7539  0.5000  0.7664  1 Ho 2.85, 2 Y 2.87, 3 Th 3.00-3.01

- formation energy (no corrections) (kJ per mole of atoms) = -157.6
- symmetry = P2/m, No. 10

[2]
# YNiSeN2

A relaxed structure of YNiSeN2 (PBE-GGA, Alexandria via LeMat-Bulk).

a = 3.9251 Å, b = 3.9251 Å, c = 4.6761 Å
α = 90.00°, β = 90.00°, γ = 90.00°
Closest atoms and distances in Å follow each position.
Positions (direct):
Y  0.0000  0.0000  0.0000  4 Se 2.78, 8 N 3.05
Ni  0.5000  0.5000  0.5000  4 N 1.96
Se  0.5000  0.5000  0.0000  2 Ni 2.34
N  0.0000  0.5000  0.5000  2 Ni 1.96
N  0.5000  0.0000  0.5000  2 Ni 1.96

- formation energy (no corrections) (kJ per mole of atoms) = 24.4
- symmetry = P4/mmm, No. 123

Results for E: -52.89, -31.12 (in eV per formula unit, following the order of the records).